# TbYS4, relaxed, DFT PBE-GGA
data_TbYS4
_chemical_formula_sum 'Tb2 Y2 S8'
_symmetry_space_group_name_H-M 'C 1 m 1'
_symmetry_Int_Tables_number 8
_cell_length_a 8.8162
_cell_length_b 4.3486
_cell_length_c 7.2669
_cell_angle_alpha 90.00
_cell_angle_beta 95.52
_cell_angle_gamma 90.00
loop_
_symmetry_equiv_pos_as_xyz
'x,y,z'
'x,-y,z'
'x+1/2,y+1/2,z'
'x+1/2,-y+1/2,z'
loop_
_atom_site_label
_atom_site_fract_x
_atom_site_fract_y
_atom_site_fract_z
Tb1 0.0000 0.0000 0.0000
Y1 0.3532 0.0000 0.4432
S1 0.0383 0.0000 0.3777
S2 0.0691 0.5000 0.7693
S3 0.2834 0.5000 0.6725
S4 0.3146 0.0000 0.0658
# DFT total energy = -0.233 Ha/atom
# Mass density = 4.50 g/cm³